[1]
A plane-wave DFT calculation with PBE was carried out for a relaxed structure of BaTlTe4.

```
BaTlTe4
1.0
6.134 -2.743 0.000
6.134 2.743 0.000
-6.064 0.000 7.441
Ba Tl Te
1 1 4
direct
0.000 0.000 0.000 Ba
0.500 0.500 0.500 Tl
0.197 0.197 0.477 Te
0.306 0.306 0.047 Te
0.694 0.694 0.953 Te
0.803 0.803 0.523 Te
```

Output
- ΔE_f (raw): -0.578 eV per atom
- Crystal system: monoclinic
- E above lowest polymorph: 0.0 kJ per mole of atoms

---

[2]
A plane-wave DFT calculation with PBE was carried out for a relaxed structure of BaDy5Te8.

```
BaDy5Te8
1.0
0.000 6.538 6.538
6.538 0.000 6.538
6.538 6.538 0.000
Ba Dy Te
1 5 8
direct
0.000 0.000 0.000 Ba
0.374 0.374 0.374 Dy
0.374 0.374 0.878 Dy
0.374 0.878 0.374 Dy
0.750 0.750 0.750 Dy
0.878 0.374 0.374 Dy
0.142 0.142 0.142 Te
0.142 0.142 0.574 Te
0.142 0.574 0.142 Te
0.147 0.618 0.618 Te
0.574 0.142 0.142 Te
0.618 0.147 0.618 Te
0.618 0.618 0.147 Te
0.618 0.618 0.618 Te
```

Output
- ΔE_f (raw): -1.300 eV per atom
- Crystal system: cubic

---

[3]
A plane-wave DFT calculation with PBE was carried out for a relaxed structure of LaMgBe.

```
LaMgBe
1.0
0.000 3.356 3.356
3.356 0.000 3.356
3.356 3.356 0.000
La Mg Be
1 1 1
direct
0.000 0.000 0.000 La
0.500 0.500 0.500 Mg
0.750 0.750 0.750 Be
```

Output
- Crystal system: cubic
- Energy of formation from the pure elements: 0.19 eV per atom
- E above lowest polymorph: 0.4 kJ per mole of atoms

---

[4]
A plane-wave DFT calculation with PBE was carried out for a relaxed structure of TmMgSc4Se8.

```
TmMgSc4Se8
1.0
3.991 2.304 6.603
-3.991 2.304 6.603
0.000 -4.609 6.603
Tm Mg Sc Se
1 1 4 8
direct
0.000 0.000 0.000 Tm
0.628 0.628 0.628 Mg
0.375 0.375 0.375 Sc
0.510 0.999 0.999 Sc
0.999 0.510 0.999 Sc
0.999 0.999 0.510 Sc
0.233 0.754 0.754 Se
0.243 0.243 0.243 Se
0.250 0.250 0.771 Se
0.250 0.771 0.250 Se
0.754 0.233 0.754 Se
0.754 0.754 0.233 Se
0.759 0.759 0.759 Se
0.771 0.250 0.250 Se
```

Output
- ΔE_f (raw): -1.608 eV per atom
- Crystal system: trigonal

---

[5]
A plane-wave DFT calculation with PBE was carried out for a relaxed structure of AlInBr3.

```
AlInBr3
1.0
5.359 0.000 0.000
0.000 5.359 0.000
0.000 0.000 5.359
Al In Br
1 1 3
direct
0.000 0.000 0.000 Al
0.500 0.500 0.500 In
0.000 0.000 0.500 Br
0.000 0.500 0.000 Br
0.500 0.000 0.000 Br
```

Output
- ΔE_f (raw): -0.648 eV per atom
- Crystal system: cubic
- E above lowest polymorph: 18.4 kJ per mole of atoms

---

[6]
A plane-wave DFT calculation with PBE was carried out for a relaxed structure of Pr3Zn2Hg3.

```
Pr3Zn2Hg3
1.0
2.349 -5.585 0.000
2.349 5.585 0.000
0.000 0.000 15.751
Pr Zn Hg
6 4 6
direct
0.096 0.904 0.603 Pr
0.096 0.904 0.897 Pr
0.377 0.623 0.750 Pr
0.623 0.377 0.250 Pr
0.904 0.096 0.103 Pr
0.904 0.096 0.397 Pr
0.203 0.797 0.103 Zn
0.203 0.797 0.397 Zn
0.797 0.203 0.603 Zn
0.797 0.203 0.897 Zn
0.340 0.660 0.250 Hg
0.383 0.617 0.544 Hg
0.383 0.617 0.956 Hg
0.617 0.383 0.044 Hg
0.617 0.383 0.456 Hg
0.660 0.340 0.750 Hg
```

Output
- Crystal system: orthorhombic
- Energy of formation from the pure elements: -0.39 eV per atom

---

[7]
A plane-wave DFT calculation with PBE was carried out for a relaxed structure of LaPr3Sn4.

```
LaPr3Sn4
1.0
-1.870 3.675 9.354
1.870 -3.675 9.354
1.870 3.675 -9.354
La Pr Sn
1 3 4
direct
0.000 0.000 0.000 La
0.213 0.713 0.500 Pr
0.500 0.500 0.000 Pr
0.787 0.287 0.500 Pr
0.167 0.870 0.296 Sn
0.426 0.130 0.296 Sn
0.574 0.870 0.704 Sn
0.833 0.130 0.704 Sn
```

Output
- Crystal system: orthorhombic
- Energy of formation from the pure elements: -0.58 eV per atom

---

[8]
A plane-wave DFT calculation with PBE was carried out for a relaxed structure of CeErHg2.

```
CeErHg2
1.0
3.677 0.000 0.000
0.000 3.677 0.000
0.000 0.000 7.845
Ce Er Hg
1 1 2
direct
0.000 0.000 0.000 Ce
0.000 0.000 0.500 Er
0.500 0.500 0.272 Hg
0.500 0.500 0.728 Hg
```

Output
- Crystal system: tetragonal
- Energy of formation from the pure elements: -0.39 eV per atom
- E above lowest polymorph: 0.0 kJ per mole of atoms

---

[9]
A plane-wave DFT calculation with PBE was carried out for a relaxed structure of NbHgTeI2.

```
NbHgTeI2
1.0
5.749 0.000 0.000
0.000 5.749 0.000
0.000 0.000 5.710
Nb Hg Te I
1 1 1 2
direct
0.000 0.000 0.000 Nb
0.500 0.500 0.500 Hg
0.500 0.500 0.000 Te
0.000 0.500 0.500 I
0.500 0.000 0.500 I
```

Output
- ΔE_f (raw): 0.995 eV per atom
- Crystal system: tetragonal
- E above lowest polymorph: 99.0 kJ per mole of atoms

---

[10]
A plane-wave DFT calculation with PBE was carried out for a relaxed structure of Pm3PrCd3.

```
Pm3PrCd3
1.0
5.424 -5.474 0.000
5.424 5.474 0.000
0.000 0.000 7.263
Pm Pr Cd
6 2 6
direct
0.240 0.240 0.000 Pm
0.244 0.756 0.000 Pm
0.245 0.755 0.500 Pm
0.755 0.245 0.500 Pm
0.756 0.244 0.000 Pm
0.760 0.760 0.000 Pm
0.239 0.239 0.500 Pr
0.761 0.761 0.500 Pr
0.000 0.500 0.247 Cd
0.000 0.500 0.753 Cd
0.500 0.000 0.247 Cd
0.500 0.000 0.753 Cd
0.500 0.500 0.246 Cd
0.500 0.500 0.754 Cd
```

Output
- Crystal system: orthorhombic
- Energy of formation from the pure elements: -0.16 eV per atom

---

[11]
A plane-wave DFT calculation with PBE was carried out for a relaxed structure of InTeS2Cl.

```
InTeS2Cl
1.0
5.183 0.000 0.000
0.000 5.183 0.000
0.000 0.000 4.962
In Te S Cl
1 1 2 1
direct
0.000 0.000 0.000 In
0.500 0.500 0.500 Te
0.000 0.500 0.000 S
0.500 0.000 0.000 S
0.000 0.000 0.500 Cl
```

Output
- ΔE_f (raw): 0.201 eV per atom
- Crystal system: tetragonal
- E above lowest polymorph: 21.5 kJ per mole of atoms

---

[12]
A plane-wave DFT calculation with PBE was carried out for a relaxed structure of TbHoMgRu.

```
TbHoMgRu
1.0
0.000 3.550 3.550
3.550 0.000 3.550
3.550 3.550 0.000
Tb Ho Mg Ru
1 1 1 1
direct
0.000 0.000 0.000 Tb
0.500 0.500 0.500 Ho
0.750 0.750 0.750 Mg
0.250 0.250 0.250 Ru
```

Output
- Crystal system: cubic
- Energy of formation from the pure elements: -0.19 eV per atom
- E above lowest polymorph: 9.1 kJ per mole of atoms

---

Values of total energy, in order: -20.324, -68.272, -9.675, -81.781, -14.740, -41.816, -39.890, -12.658, -11.640, -45.796, -14.977, -20.857, all in eV for the cell shown.